An optimized crystal structure of MnAs2IrO8. Source: Alexandria via LeMat-Bulk, functional PBE+U.

The space group is P-3m1 (No. 164) and the conventional cell measures 5.4623, 5.4623 and 6.2940 Å, with angles of 90.00, 90.00 and 120.00 degrees. The inequivalent atoms are Mn at (0.0000, 0.0000, 0.0000), As at (0.3333, 0.6667, 0.2076), Ir at (0.0000, 0.0000, 0.5000), O at (0.1548, 0.3095, 0.2813) and O at (0.3333, 0.6667, 0.9440).

The calculation puts the total magnetic moment at 3.963 μB per cell. The volume comes out at 13.55 A^3/atom. The energy is -6.38 eV per atom.